! Re2Bi2Se (PBE, optimized geometry); values from VASP
! **Excess energy over the best structure of this formula in the dataset**: 0.0 meV/atom
! **Calculated volume**: 23.25 A^3/atom
! **Electronic total energy**: -6.75 eV per atom
! **Formation energy from raw total energies**: 0.48 eV/atom
! **Space group**: No. 139
&SYSTEM
  ibrav = 0, nat = 5, ntyp = 3
/
ATOMIC_SPECIES
Se 78.96 Se.upf
Re 186.21 Re.upf
Bi 208.98 Bi.upf
ATOMIC_POSITIONS angstrom
Se 0.000 0.000 0.000
Re -4.933 0.632 -3.317
Re -5.737 -0.909 -1.413
Bi -7.930 0.304 -3.103
Bi -2.741 -0.581 -1.628
CELL_PARAMETERS angstrom
-0.255 -0.047 -3.637
-1.864 -3.129 0.171
-8.552 2.900 -1.265